Compound: ZnTcAu
Source: Alexandria
Functional: GGA-PBEsol
Structure: optimized geometry

The structure in extended XYZ format:
```
3
Lattice="4.458 0.000 0.000 -2.229 3.861 0.000 0.000 0.000 2.593" Properties=species:S:1:pos:R:3 pbc="T T T"
Zn 0.000 0.000 0.000
Tc 0.000 2.574 1.297
Au 2.229 1.287 0.000
```

## Properties
formation enthalpy at 0 K = 0.303 eV per atom